First-principles (PBE-GGA) data for crystalline Na3HfNp2Te6 at its relaxed geometry, as listed in Alexandria via LeMat-Bulk.

abc: 7.531 7.531 8.017
angles: 99.04 99.04 120.03
Last column: magnetic moment on the atom in μB.
Fractional positions:
Na: 0.171 0.829 0.500  0.00
Na: 0.829 0.171 0.500  0.00
Na: 0.500 0.500 0.500  0.00
Hf: 0.000 0.000 0.000  0.38
Np: 0.334 0.666 0.000  4.10
Np: 0.666 0.334 0.000  4.10
Te: 0.923 0.607 0.769  -0.05
Te: 0.762 0.762 0.231  -0.06
Te: 0.077 0.393 0.231  -0.05
Te: 0.607 0.923 0.769  -0.05
Te: 0.238 0.238 0.769  -0.06
Te: 0.393 0.077 0.231  -0.05

Values from the calculation:
ΔE_f (raw): -9.8 eV/f.u.
crystal system: monoclinic
symmetry: C2/m, No. 12


First-principles (PBE-GGA) data for crystalline BaY2 at its relaxed geometry, as listed in Alexandria via LeMat-Bulk.

abc: 7.553 7.553 8.760
angles: 76.71 76.71 29.29
Fractional positions:
Ba: 0.029 0.029 0.210
Ba: 0.971 0.971 0.790
Y: 0.340 0.340 0.528
Y: 0.706 0.706 0.854
Y: 0.294 0.294 0.146
Y: 0.660 0.660 0.472

Values from the calculation:
crystal system: monoclinic
formation enthalpy at 0 K: 0.1886 eV/atom
symmetry: C2/m, No. 12


First-principles (PBE-GGA) data for crystalline Ca4Pu2O9 at its relaxed geometry, as listed in Alexandria via LeMat-Bulk.

abc: 5.813 5.813 15.520
angles: 90.00 90.00 60.00
Last column: magnetic moment on the atom in μB.
Fractional positions:
Ca: 0.333 0.333 0.978  0.00
Ca: 0.333 0.333 0.478  0.00
Ca: 0.667 0.667 0.022  0.00
Ca: 0.333 0.333 0.190  0.00
Ca: 0.667 0.667 0.522  0.00
Ca: 0.666 0.667 0.310  0.00
Ca: 0.334 0.333 0.690  0.00
Ca: 0.667 0.667 0.810  0.00
Pu: 0.000 0.000 0.355  3.40
Pu: 0.000 0.000 0.145  3.40
Pu: 0.000 0.000 0.645  3.40
Pu: 0.000 0.000 0.855  3.40
O: 0.000 0.267 0.750  -0.11
O: 0.267 0.733 0.750  -0.11
O: 0.733 0.000 0.750  -0.11
O: 0.000 0.733 0.250  -0.11
O: 0.733 0.267 0.250  -0.11
O: 0.267 0.000 0.250  -0.11
O: 0.696 0.961 0.413  -0.08
O: 0.961 0.343 0.413  -0.08
O: 0.342 0.696 0.413  -0.08
O: 0.657 0.039 0.087  -0.08
O: 0.304 0.657 0.087  -0.08
O: 0.039 0.304 0.087  -0.08
O: 0.304 0.039 0.587  -0.08
O: 0.039 0.657 0.587  -0.08
O: 0.658 0.304 0.587  -0.08
O: 0.343 0.961 0.913  -0.08
O: 0.696 0.343 0.913  -0.08
O: 0.961 0.696 0.913  -0.08

Values from the calculation:
ΔE_f (raw): -43.6 eV/f.u.
crystal system: trigonal
symmetry: P-3c1, No. 165


Which formula does entry 1 have? Na3HfNp2Te6